This record from OQMD via LeMat-Bulk describes crystalline Fe3Ge at its relaxed geometry. The functional is PBE-GGA.

a = 4.041 Å, b = 4.041 Å, c = 4.041 Å
α = 60.00°, β = 60.00°, γ = 60.00°
Fractional coordinates of all 4 atoms:
Fe (0.000, 0.000, 0.000)
Fe (0.250, 0.250, 0.250)
Fe (0.750, 0.750, 0.750)
Ge (0.500, 0.500, 0.500)

Summary:
Space group   Fm-3m, No. 225
Uncorrected energy   -7.50 eV/atom
Spin magnetization   5.3 μB/cell